VASP calculation (PBE) on a relaxed structure of Nd3NiBr3.

Cell: 10.343 10.343 10.343 Å, 109.47 109.47 109.47°
Element x y z (fractional)
1 Nd 0.016 0.033 0.266
2 Nd 0.016 0.484 0.750
3 Nd 0.033 0.266 0.016
4 Nd 0.234 0.266 0.750
5 Nd 0.234 0.467 0.484
6 Nd 0.266 0.016 0.033
7 Nd 0.266 0.750 0.234
8 Nd 0.467 0.484 0.234
9 Nd 0.484 0.234 0.467
10 Nd 0.484 0.750 0.016
11 Nd 0.750 0.016 0.484
12 Nd 0.750 0.234 0.266
13 Ni 0.000 0.250 0.500
14 Ni 0.250 0.250 0.250
15 Ni 0.250 0.500 0.000
16 Ni 0.500 0.000 0.250
17 Br 0.250 0.757 0.743
18 Br 0.250 0.993 0.507
19 Br 0.507 0.250 0.993
20 Br 0.507 0.757 0.513
21 Br 0.513 0.507 0.757
22 Br 0.743 0.250 0.757
23 Br 0.743 0.993 0.987
24 Br 0.757 0.513 0.507
25 Br 0.757 0.743 0.250
26 Br 0.987 0.743 0.993
27 Br 0.993 0.507 0.250
28 Br 0.993 0.987 0.743

Computed properties:
* M_tot: 0.0 Bohr magnetons per cell
* symmetry: I4_132
* energy: -33.698 eV/f.u.
* uncorrected formation energy: -8.6 eV per formula unit